No. 1
{
  "formula": "TbPr3Y2Tm6",
  "functional": "PBE-GGA",
  "state": "relaxed",
  "dos_ef_per_ev_cell": 15.983,
  "final_energy_ev_per_atom": -4.8682,
  "formation_enthalpy_0k_mev_per_atom": 26,
  "cell": [[3.096, -5.358, 0.000], [3.096, 5.358, 0.000], [-2.057, 0.000, 11.558]],
  "species": ["Tb", "Pr", "Pr", "Pr", "Y", "Y", "Tm", "Tm", "Tm", "Tm", "Tm", "Tm"],
  "frac_coords": [[0.000, 0.000, 0.000], [0.167, 0.833, 0.500], [0.500, 0.500, 0.500], [0.833, 0.167, 0.500], [0.333, 0.667, 0.000], [0.667, 0.333, 0.000], [0.082, 0.415, 0.247], [0.251, 0.251, 0.753], [0.415, 0.082, 0.247], [0.585, 0.918, 0.753], [0.749, 0.749, 0.247], [0.918, 0.585, 0.753]]
}

=====

No. 2
{
  "formula": "TbPr4Y2Tm2",
  "functional": "PBE-GGA",
  "state": "relaxed",
  "dos_ef_per_ev_cell": 13.783,
  "final_energy_ev_per_atom": -5.0456,
  "formation_enthalpy_0k_mev_per_atom": 23,
  "cell": [[7.682, -2.557, 0.000], [7.682, 2.557, 0.000], [-2.539, 0.000, 7.664]],
  "species": ["Tb", "Pr", "Pr", "Pr", "Pr", "Y", "Y", "Tm", "Tm"],
  "frac_coords": [[0.000, 0.000, 0.000], [0.222, 0.222, 0.330], [0.446, 0.446, 0.671], [0.554, 0.554, 0.329], [0.778, 0.778, 0.670], [0.112, 0.112, 0.670], [0.888, 0.888, 0.330], [0.332, 0.332, 0.000], [0.668, 0.668, 0.000]]
}

=====

No. 3
{
  "formula": "Tb2Pr6YTm",
  "functional": "PBE-GGA",
  "state": "relaxed",
  "dos_ef_per_ev_cell": 28.594,
  "final_energy_ev_per_atom": -4.7743,
  "formation_enthalpy_0k_mev_per_atom": 113,
  "cell": [[4.648, -7.751, 0.000], [4.648, 7.751, 0.000], [-1.271, 0.000, 9.638]],
  "species": ["Tb", "Tb", "Tb", "Tb", "Pr", "Pr", "Pr", "Pr", "Pr", "Pr", "Pr", "Pr", "Pr", "Pr", "Pr", "Pr", "Y", "Y", "Tm", "Tm"],
  "frac_coords": [[0.200, 0.300, 0.045], [0.300, 0.200, 0.545], [0.700, 0.800, 0.455], [0.800, 0.700, 0.955], [0.008, 0.565, 0.190], [0.119, 0.762, 0.553], [0.238, 0.881, 0.947], [0.291, 0.506, 0.383], [0.435, 0.992, 0.310], [0.494, 0.709, 0.117], [0.506, 0.291, 0.883], [0.565, 0.008, 0.690], [0.709, 0.494, 0.617], [0.762, 0.119, 0.053], [0.881, 0.238, 0.447], [0.992, 0.435, 0.810], [0.026, 0.974, 0.250], [0.974, 0.026, 0.750], [0.412, 0.588, 0.750], [0.588, 0.412, 0.250]]
}

=====

No. 4
{
  "formula": "Tb2Pr3Tm6Zr",
  "functional": "PBE-GGA",
  "state": "relaxed",
  "dos_ef_per_ev_cell": 15.039,
  "final_energy_ev_per_atom": -4.8659,
  "formation_enthalpy_0k_mev_per_atom": 49,
  "cell": [[3.063, -5.302, 0.000], [3.063, 5.302, 0.000], [-2.038, 0.000, 11.419]],
  "species": ["Tb", "Tb", "Pr", "Pr", "Pr", "Tm", "Tm", "Tm", "Tm", "Tm", "Tm", "Zr"],
  "frac_coords": [[0.167, 0.833, 0.000], [0.833, 0.167, 0.000], [0.000, 0.000, 0.500], [0.334, 0.666, 0.500], [0.666, 0.334, 0.500], [0.094, 0.420, 0.759], [0.254, 0.254, 0.241], [0.420, 0.094, 0.759], [0.580, 0.906, 0.241], [0.746, 0.746, 0.759], [0.906, 0.580, 0.241], [0.500, 0.500, 0.000]]
}

=====

No. 5
{
  "formula": "Tb3Pr2Tm6Zr",
  "functional": "PBE-GGA",
  "state": "relaxed",
  "dos_ef_per_ev_cell": 14.987,
  "final_energy_ev_per_atom": -4.8467,
  "formation_enthalpy_0k_mev_per_atom": 56,
  "cell": [[3.047, -5.273, 0.000], [3.047, 5.273, 0.000], [-2.024, 0.000, 11.422]],
  "species": ["Tb", "Tb", "Tb", "Pr", "Pr", "Tm", "Tm", "Tm", "Tm", "Tm", "Tm", "Zr"],
  "frac_coords": [[0.000, 0.000, 0.000], [0.334, 0.666, 0.000], [0.666, 0.334, 0.000], [0.167, 0.833, 0.500], [0.833, 0.167, 0.500], [0.091, 0.417, 0.252], [0.257, 0.257, 0.748], [0.417, 0.091, 0.252], [0.583, 0.909, 0.748], [0.743, 0.743, 0.252], [0.909, 0.583, 0.748], [0.500, 0.500, 0.500]]
}

=====

No. 6
{
  "formula": "Tb2PrV",
  "functional": "PBE-GGA",
  "state": "relaxed",
  "dos_ef_per_ev_cell": 5.374,
  "final_energy_ev_per_atom": -5.1654,
  "formation_enthalpy_0k_mev_per_atom": 624,
  "cell": [[1.706, 0.985, 11.613], [-1.706, 0.985, 11.613], [0.000, -1.970, 11.613]],
  "species": ["Tb", "Tb", "Pr", "V"],
  "frac_coords": [[0.080, 0.080, 0.080], [0.920, 0.920, 0.920], [0.500, 0.500, 0.500], [0.000, 0.000, 0.000]]
}

=====

No. 7
{
  "formula": "TbPr2V",
  "functional": "PBE-GGA",
  "state": "relaxed",
  "dos_ef_per_ev_cell": 6.320,
  "final_energy_ev_per_atom": -5.1868,
  "formation_enthalpy_0k_mev_per_atom": 640,
  "cell": [[1.732, 1.000, 11.751], [-1.732, 1.000, 11.751], [0.000, -2.000, 11.751]],
  "species": ["Tb", "Pr", "Pr", "V"],
  "frac_coords": [[0.000, 0.000, 0.000], [0.419, 0.419, 0.419], [0.581, 0.581, 0.581], [0.500, 0.500, 0.500]]
}

=====

No. 8
{
  "formula": "Tb8Pr3Y2",
  "functional": "PBE-GGA",
  "state": "relaxed",
  "dos_ef_per_ev_cell": 20.017,
  "final_energy_ev_per_atom": -4.8633,
  "formation_enthalpy_0k_mev_per_atom": 84,
  "polymorph_energy_ev_per_atom": 0.0000,
  "cell": [[11.508, -2.811, 0.000], [11.508, 2.811, 0.000], [-1.428, 0.000, 6.688]],
  "species": ["Tb", "Tb", "Tb", "Tb", "Tb", "Tb", "Tb", "Tb", "Pr", "Pr", "Pr", "Y", "Y"],
  "frac_coords": [[0.077, 0.077, 0.093], [0.178, 0.178, 0.767], [0.332, 0.332, 0.972], [0.377, 0.377, 0.511], [0.623, 0.623, 0.489], [0.668, 0.668, 0.028], [0.822, 0.822, 0.233], [0.923, 0.923, 0.907], [0.000, 0.000, 0.500], [0.489, 0.489, 0.212], [0.511, 0.511, 0.788], [0.230, 0.230, 0.314], [0.770, 0.770, 0.686]]
}

=====

No. 9
{
  "formula": "Tb4Pr3Y2",
  "functional": "PBE-GGA",
  "state": "relaxed",
  "dos_ef_per_ev_cell": 11.618,
  "final_energy_ev_per_atom": -5.0708,
  "formation_enthalpy_0k_mev_per_atom": 17,
  "polymorph_energy_ev_per_atom": 0.0000,
  "cell": [[7.896, -1.808, 0.000], [7.896, 1.808, 0.000], [-2.536, 0.000, 10.520]],
  "species": ["Tb", "Tb", "Tb", "Tb", "Pr", "Pr", "Pr", "Y", "Y"],
  "frac_coords": [[0.001, 0.001, 0.168], [0.333, 0.333, 0.610], [0.667, 0.667, 0.390], [0.999, 0.999, 0.832], [0.000, 0.000, 0.500], [0.334, 0.334, 0.944], [0.666, 0.666, 0.056], [0.333, 0.333, 0.279], [0.667, 0.667, 0.721]]
}

=====

No. 10
{
  "formula": "TbPr14Y",
  "functional": "PBE-GGA",
  "state": "relaxed",
  "dos_ef_per_ev_cell": 25.630,
  "final_energy_ev_per_atom": -4.8635,
  "formation_enthalpy_0k_mev_per_atom": 12,
  "cell": [[10.466, 0.000, 0.000], [0.000, 5.225, 5.227], [0.000, -5.225, 5.227]],
  "species": ["Tb", "Pr", "Pr", "Pr", "Pr", "Pr", "Pr", "Pr", "Pr", "Pr", "Pr", "Pr", "Pr", "Pr", "Pr", "Y"],
  "frac_coords": [[0.000, 0.000, 0.000], [0.000, 0.500, 0.999], [0.000, 0.999, 0.500], [0.248, 0.249, 0.249], [0.248, 0.250, 0.750], [0.248, 0.750, 0.250], [0.248, 0.750, 0.750], [0.500, 0.000, 0.499], [0.500, 0.499, 0.000], [0.500, 0.500, 0.500], [0.500, 0.999, 0.999], [0.752, 0.249, 0.249], [0.752, 0.250, 0.750], [0.752, 0.750, 0.250], [0.752, 0.750, 0.750], [0.000, 0.500, 0.500]]
}

=====

No. 11
{
  "formula": "Tb10Pr4Y",
  "functional": "PBE-GGA",
  "state": "relaxed",
  "dos_ef_per_ev_cell": 23.084,
  "final_energy_ev_per_atom": -4.4470,
  "formation_enthalpy_0k_mev_per_atom": 345,
  "cell": [[-4.914, 4.914, 5.318], [4.914, -4.914, 5.318], [4.914, 4.914, -5.318]],
  "species": ["Tb", "Tb", "Tb", "Tb", "Tb", "Tb", "Tb", "Tb", "Tb", "Tb", "Pr", "Pr", "Pr", "Pr", "Y"],
  "frac_coords": [[0.048, 0.371, 0.096], [0.048, 0.952, 0.323], [0.250, 0.750, 0.500], [0.275, 0.952, 0.904], [0.371, 0.275, 0.323], [0.629, 0.725, 0.677], [0.725, 0.048, 0.096], [0.750, 0.250, 0.500], [0.952, 0.048, 0.677], [0.952, 0.629, 0.904], [0.167, 0.434, 0.601], [0.434, 0.833, 0.267], [0.566, 0.167, 0.733], [0.833, 0.566, 0.399], [0.500, 0.500, 0.000]]
}

=====

No. 12
{
  "formula": "TbPr12Y3",
  "functional": "PBE-GGA",
  "state": "relaxed",
  "dos_ef_per_ev_cell": 24.508,
  "final_energy_ev_per_atom": -5.0761,
  "formation_enthalpy_0k_mev_per_atom": 10,
  "cell": [[5.206, 0.000, 0.000], [0.000, 5.206, 0.000], [0.000, 0.000, 20.748]],
  "species": ["Tb", "Pr", "Pr", "Pr", "Pr", "Pr", "Pr", "Pr", "Pr", "Pr", "Pr", "Pr", "Pr", "Y", "Y", "Y"],
  "frac_coords": [[0.000, 0.000, 0.000], [0.000, 0.500, 0.125], [0.000, 0.500, 0.375], [0.000, 0.500, 0.625], [0.000, 0.500, 0.875], [0.500, 0.000, 0.125], [0.500, 0.000, 0.375], [0.500, 0.000, 0.625], [0.500, 0.000, 0.875], [0.500, 0.500, 0.000], [0.500, 0.500, 0.250], [0.500, 0.500, 0.500], [0.500, 0.500, 0.750], [0.000, 0.000, 0.250], [0.000, 0.000, 0.500], [0.000, 0.000, 0.750]]
}

=====

No. 13
{
  "formula": "Tb2Pr2Y15",
  "functional": "PBE-GGA",
  "state": "relaxed",
  "dos_ef_per_ev_cell": 40.998,
  "final_energy_ev_per_atom": -5.8104,
  "formation_enthalpy_0k_mev_per_atom": 283,
  "cell": [[5.665, 3.270, 5.907], [-5.665, 3.270, 5.907], [0.000, -6.541, 5.907]],
  "species": ["Tb", "Tb", "Pr", "Pr", "Y", "Y", "Y", "Y", "Y", "Y", "Y", "Y", "Y", "Y", "Y", "Y", "Y", "Y", "Y"],
  "frac_coords": [[0.096, 0.096, 0.096], [0.904, 0.904, 0.904], [0.327, 0.327, 0.327], [0.673, 0.673, 0.673], [0.000, 0.000, 0.500], [0.000, 0.298, 0.702], [0.000, 0.500, 0.000], [0.000, 0.702, 0.298], [0.149, 0.632, 0.632], [0.298, 0.000, 0.702], [0.298, 0.702, 0.000], [0.368, 0.368, 0.851], [0.368, 0.851, 0.368], [0.500, 0.000, 0.000], [0.632, 0.149, 0.632], [0.632, 0.632, 0.149], [0.702, 0.000, 0.298], [0.702, 0.298, 0.000], [0.851, 0.368, 0.368]]
}

=====

No. 14
{
  "formula": "Tb3Pr3Y5",
  "functional": "PBE-GGA",
  "state": "relaxed",
  "dos_ef_per_ev_cell": 19.260,
  "final_energy_ev_per_atom": -4.7419,
  "formation_enthalpy_0k_mev_per_atom": 763,
  "polymorph_energy_ev_per_atom": 0.0000,
  "cell": [[9.738, 0.000, 0.000], [-4.869, 8.433, 0.000], [0.000, 0.000, 5.566]],
  "species": ["Tb", "Tb", "Tb", "Pr", "Pr", "Pr", "Y", "Y", "Y", "Y", "Y"],
  "frac_coords": [[0.000, 0.729, 0.000], [0.271, 0.271, 0.000], [0.729, 0.000, 0.000], [0.000, 0.579, 0.500], [0.421, 0.421, 0.500], [0.579, 0.000, 0.500], [0.000, 0.366, 0.000], [0.333, 0.667, 0.000], [0.366, 0.000, 0.000], [0.634, 0.634, 0.000], [0.667, 0.333, 0.000]]
}

=====

No. 15
{
  "formula": "Tb5PrY4",
  "functional": "PBE-GGA",
  "state": "relaxed",
  "dos_ef_per_ev_cell": 15.179,
  "final_energy_ev_per_atom": -5.0859,
  "formation_enthalpy_0k_mev_per_atom": 293,
  "cell": [[-5.113, 5.113, 3.178], [5.113, -5.113, 3.178], [5.113, 5.113, -3.178]],
  "species": ["Tb", "Tb", "Tb", "Tb", "Tb", "Pr", "Y", "Y", "Y", "Y"],
  "frac_coords": [[0.000, 0.000, 0.000], [0.043, 0.419, 0.916], [0.127, 0.043, 0.624], [0.419, 0.503, 0.376], [0.503, 0.127, 0.084], [0.545, 0.545, 0.000], [0.122, 0.730, 0.298], [0.432, 0.823, 0.702], [0.730, 0.432, 0.609], [0.823, 0.122, 0.391]]
}

=====

No. 16
{
  "formula": "Tb4PrY",
  "functional": "PBE-GGA",
  "state": "relaxed",
  "dos_ef_per_ev_cell": 8.449,
  "final_energy_ev_per_atom": -4.9431,
  "formation_enthalpy_0k_mev_per_atom": 18,
  "polymorph_energy_ev_per_atom": 0.0000,
  "cell": [[3.585, 0.000, 0.000], [1.769, 5.953, 0.000], [1.771, 1.648, 9.190]],
  "species": ["Tb", "Tb", "Tb", "Tb", "Pr", "Y"],
  "frac_coords": [[0.167, 0.499, 0.168], [0.168, 0.000, 0.665], [0.832, 0.000, 0.335], [0.833, 0.501, 0.832], [0.500, 0.000, 0.000], [0.500, 0.500, 0.500]]
}

=====

No. 17
{
  "formula": "Tb5Pr2Y4",
  "functional": "PBE-GGA",
  "state": "relaxed",
  "dos_ef_per_ev_cell": 16.484,
  "final_energy_ev_per_atom": -5.1127,
  "formation_enthalpy_0k_mev_per_atom": 211,
  "polymorph_energy_ev_per_atom": 0.0650,
  "cell": [[-1.762, 4.555, 11.742], [1.762, -4.555, 11.742], [1.762, 4.555, -11.742]],
  "species": ["Tb", "Tb", "Tb", "Tb", "Tb", "Pr", "Pr", "Y", "Y", "Y", "Y"],
  "frac_coords": [[0.000, 0.000, 0.000], [0.052, 0.359, 0.694], [0.335, 0.641, 0.694], [0.665, 0.359, 0.306], [0.948, 0.641, 0.306], [0.267, 0.767, 0.500], [0.733, 0.233, 0.500], [0.311, 0.500, 0.811], [0.402, 0.902, 0.500], [0.598, 0.098, 0.500], [0.689, 0.500, 0.189]]
}

=====

No. 18
{
  "formula": "Tb7Pr12Y",
  "functional": "PBE-GGA",
  "state": "relaxed",
  "dos_ef_per_ev_cell": 27.583,
  "final_energy_ev_per_atom": -4.5895,
  "formation_enthalpy_0k_mev_per_atom": 222,
  "polymorph_energy_ev_per_atom": 0.0075,
  "cell": [[9.879, 5.704, 2.104], [-9.879, 5.704, 2.104], [0.000, -11.408, 2.104]],
  "species": ["Tb", "Tb", "Tb", "Tb", "Tb", "Tb", "Tb", "Pr", "Pr", "Pr", "Pr", "Pr", "Pr", "Pr", "Pr", "Pr", "Pr", "Pr", "Pr", "Y"],
  "frac_coords": [[0.000, 0.000, 0.000], [0.130, 0.376, 0.376], [0.376, 0.130, 0.376], [0.376, 0.376, 0.130], [0.624, 0.624, 0.870], [0.624, 0.870, 0.624], [0.870, 0.624, 0.624], [0.000, 0.412, 0.588], [0.000, 0.588, 0.412], [0.083, 0.083, 0.436], [0.083, 0.436, 0.083], [0.412, 0.000, 0.588], [0.412, 0.588, 0.000], [0.436, 0.083, 0.083], [0.564, 0.917, 0.917], [0.588, 0.000, 0.412], [0.588, 0.412, 0.000], [0.917, 0.564, 0.917], [0.917, 0.917, 0.564], [0.500, 0.500, 0.500]]
}

=====

No. 19
{
  "formula": "Tb4PrY7",
  "functional": "PBE-GGA",
  "state": "relaxed",
  "dos_ef_per_ev_cell": 22.127,
  "final_energy_ev_per_atom": -5.4352,
  "formation_enthalpy_0k_mev_per_atom": 277,
  "polymorph_energy_ev_per_atom": 0.1939,
  "cell": [[6.071, -2.953, 0.000], [6.071, 2.953, 0.000], [-5.856, 0.000, 11.282]],
  "species": ["Tb", "Tb", "Tb", "Tb", "Pr", "Y", "Y", "Y", "Y", "Y", "Y", "Y"],
  "frac_coords": [[0.135, 0.135, 0.275], [0.253, 0.253, 0.818], [0.747, 0.747, 0.182], [0.865, 0.865, 0.725], [0.500, 0.500, 0.500], [0.000, 0.000, 0.500], [0.135, 0.135, 0.003], [0.290, 0.290, 0.578], [0.441, 0.441, 0.171], [0.559, 0.559, 0.829], [0.710, 0.710, 0.422], [0.865, 0.865, 0.997]]
}

=====

No. 20
{
  "formula": "Tb3Pr8Y4",
  "functional": "PBE-GGA",
  "state": "relaxed",
  "dos_ef_per_ev_cell": 22.988,
  "final_energy_ev_per_atom": -4.8774,
  "formation_enthalpy_0k_mev_per_atom": 321,
  "cell": [[6.971, -6.144, 0.000], [6.971, 6.144, 0.000], [-3.317, 0.000, 6.130]],
  "species": ["Tb", "Tb", "Tb", "Pr", "Pr", "Pr", "Pr", "Pr", "Pr", "Pr", "Pr", "Y", "Y", "Y", "Y"],
  "frac_coords": [[0.000, 0.000, 0.000], [0.000, 0.500, 0.000], [0.500, 0.000, 0.000], [0.203, 0.203, 0.683], [0.205, 0.795, 0.500], [0.253, 0.747, 0.000], [0.254, 0.254, 0.219], [0.746, 0.746, 0.781], [0.747, 0.253, 0.000], [0.795, 0.205, 0.500], [0.797, 0.797, 0.317], [0.000, 0.500, 0.500], [0.500, 0.000, 0.500], [0.500, 0.500, 0.000], [0.500, 0.500, 0.500]]
}